Record 1
First-principles (GGA-PBE) data for LiYTl after structural relaxation, as listed in Alexandria.

Computed properties:
excess energy over the best structure of this formula in the dataset: 0.0000 eV per atom
space group: Pnma, No. 62
energy relative to the elements: -0.30 eV/atom

Unit cell a=7.5127 b=4.7358 c=8.0408 alpha=90.00 beta=90.00 gamma=90.00
Element x y z (fractional)
Li: 0.1727 0.2500 0.0741
Li: 0.3273 0.7500 0.5741
Li: 0.6727 0.2500 0.4259
Li: 0.8273 0.7500 0.9259
Y: 0.0007 0.2500 0.7007
Y: 0.4993 0.7500 0.2007
Y: 0.5007 0.2500 0.7993
Y: 0.9993 0.7500 0.2993
Tl: 0.2127 0.7500 0.9016
Tl: 0.2873 0.2500 0.4016
Tl: 0.7127 0.7500 0.5984
Tl: 0.7873 0.2500 0.0984

Record 2
First-principles (GGA-PBE) data for TmAl8Au2 after structural relaxation, as listed in Alexandria.

Computed properties:
space group: C2/m, No. 12
energy relative to the elements: -0.20 eV/atom

Unit cell a=7.7647 b=7.7647 c=4.9993 alpha=91.42 beta=91.42 gamma=42.00
Element x y z (fractional)
Tm: 0.0000 0.0000 0.0000
Al: 0.1597 0.6505 0.4825
Al: 0.2082 0.2082 0.1635
Al: 0.3495 0.8403 0.5175
Al: 0.4062 0.4062 0.9842
Al: 0.5938 0.5938 0.0158
Al: 0.6505 0.1597 0.4825
Al: 0.7918 0.7918 0.8365
Al: 0.8403 0.3495 0.5175
Au: 0.2495 0.2495 0.6764
Au: 0.7505 0.7505 0.3236

Record 3
First-principles (GGA-PBE) data for AlHgRh2 after structural relaxation, as listed in Alexandria.

Computed properties:
excess energy over the best structure of this formula in the dataset: 0.4502 eV per atom
space group: F-43m, No. 216
energy relative to the elements: -0.05 eV/atom

Unit cell a=4.4793 b=4.4793 c=4.4793 alpha=60.00 beta=60.00 gamma=60.00
Element x y z (fractional)
Al: 0.0000 0.0000 0.0000
Hg: 0.2500 0.2500 0.2500
Rh: 0.5000 0.5000 0.5000
Rh: 0.7500 0.7500 0.7500

Record 4
First-principles (GGA-PBE) data for TaNbN after structural relaxation, as listed in Alexandria.

Computed properties:
energy relative to the elements, uncorrected: -0.809 eV/atom
excess energy over the best structure of this formula in the dataset: 0.0000 eV per atom
space group: C2/m, No. 12

Unit cell a=5.7877 b=5.7877 c=5.4257 alpha=117.92 beta=117.92 gamma=31.41
Element x y z (fractional)
Ta: 0.1224 0.1224 0.4565
Ta: 0.8776 0.8776 0.5435
Nb: 0.3733 0.3733 0.0391
Nb: 0.6267 0.6267 0.9609
N: 0.2517 0.2517 0.2629
N: 0.7483 0.7483 0.7371

Record 5
First-principles (GGA-PBE) data for PuSi2Os after structural relaxation, as listed in Alexandria.

Computed properties:
energy relative to the elements, uncorrected: -0.469 eV/atom
space group: R-3m, No. 166

Unit cell a=5.3837 b=5.3837 c=5.3837 alpha=44.81 beta=44.81 gamma=44.81
Element x y z (fractional)
Pu: 0.0000 0.0000 0.0000
Si: 0.2131 0.2131 0.2131
Si: 0.7869 0.7869 0.7869
Os: 0.5000 0.5000 0.5000

Record 6
First-principles (GGA-PBE) data for Tb2Dy6Ho3Er after structural relaxation, as listed in Alexandria.

Computed properties:
space group: C2/m, No. 12
energy relative to the elements: 0.02 eV/atom

Unit cell a=6.1110 b=6.1110 c=11.6971 alpha=94.97 beta=94.97 gamma=119.95
Element x y z (fractional)
Tb: 0.1666 0.8334 0.0000
Tb: 0.8334 0.1666 0.0000
Dy: 0.0832 0.4162 0.7496
Dy: 0.2508 0.2508 0.2505
Dy: 0.4162 0.0832 0.7496
Dy: 0.5838 0.9168 0.2504
Dy: 0.7492 0.7492 0.7495
Dy: 0.9168 0.5838 0.2504
Ho: 0.0000 0.0000 0.5000
Ho: 0.3334 0.6666 0.5000
Ho: 0.6666 0.3334 0.5000
Er: 0.5000 0.5000 0.0000